Record 1
Below is a relaxed U8MnS17 crystal, with properties calculated at the PBE-GGA level.

a = 7.8054 Å, b = 7.8054 Å, c = 10.3773 Å
α = 80.40°, β = 80.40°, γ = 64.72°
Element x y z (fractional)
1 U 0.8182 0.3014 0.3008
2 U 0.3014 0.8182 0.3008
3 U 0.1818 0.6986 0.6992
4 U 0.6986 0.1818 0.6992
5 U 0.7962 0.7962 0.4558
6 U 0.2038 0.2038 0.5442
7 U 0.3174 0.3174 0.0186
8 U 0.6826 0.6826 0.9814
9 Mn 0.0000 0.0000 0.0000
10 S 0.1789 0.5672 0.4645
11 S 0.5672 0.1789 0.4645
12 S 0.8211 0.4328 0.5355
13 S 0.4328 0.8211 0.5355
14 S 0.9438 0.3245 0.0340
15 S 0.3245 0.9438 0.0340
16 S 0.0562 0.6755 0.9660
17 S 0.6755 0.0562 0.9660
18 S 0.9424 0.9424 0.2289
19 S 0.0576 0.0576 0.7711
20 S 0.7878 0.7878 0.7197
21 S 0.2122 0.2122 0.2803
22 S 0.6975 0.6975 0.2461
23 S 0.3025 0.3025 0.7539
24 S 0.4795 0.4795 0.1698
25 S 0.5205 0.5205 0.8302
26 S 0.0000 0.0000 0.5000

Uncorrected formation energy: -1.343 eV/atom

Record 2
Below is a relaxed Tb3Pr2ThS6 crystal, with properties calculated at the PBE-GGA level.

a = 3.9828 Å, b = 8.0641 Å, c = 8.9987 Å
α = 104.22°, β = 102.79°, γ = 90.00°
Element x y z (fractional)
1 Tb 0.5000 0.5000 0.0000
2 Tb 0.8329 0.1652 0.6658
3 Tb 0.1671 0.8348 0.3342
4 Pr 0.8350 0.6695 0.6700
5 Pr 0.1650 0.3305 0.3300
6 Th 0.5000 0.0000 0.0000
7 S 0.3305 0.9267 0.6610
8 S 0.6639 0.5928 0.3279
9 S 0.6695 0.0733 0.3390
10 S 0.9954 0.2562 0.9907
11 S 0.0046 0.7438 0.0093
12 S 0.3361 0.4072 0.6721

Uncorrected formation energy: -1.978 eV/atom

Record 3
Below is a relaxed La3ScSn crystal, with properties calculated at the PBE-GGA level.

a = 5.5795 Å, b = 5.5795 Å, c = 5.5795 Å
α = 90.00°, β = 90.00°, γ = 90.00°
Element x y z (fractional)
1 Sc 0.0000 0.0000 0.0000
2 Sn 0.5000 0.5000 0.5000
3 La 0.0000 0.5000 0.0000
4 La 0.0000 0.0000 0.5000
5 La 0.5000 0.0000 0.0000

Distance to the lowest polymorph of the same formula: 0.00 eV/f.u.

Record 4
Below is a relaxed Be2InW crystal, with properties calculated at the PBE-GGA level.

a = 6.5460 Å, b = 6.5460 Å, c = 5.3768 Å
α = 52.50°, β = 52.50°, γ = 90.00°
Element x y z (fractional)
1 Be 0.6310 0.1250 0.2500
2 Be 0.1190 0.6250 0.2500
3 Be 0.3750 0.3690 0.7500
4 Be 0.8750 0.8810 0.7500
5 W 0.0000 0.0000 0.0000
6 W 0.7500 0.2500 0.5000
7 In 0.5000 0.5000 0.0000
8 In 0.2500 0.7500 0.5000

Raw total energy: -19.87 eV/f.u.